[1]
## La8NiP3I4 (PBE)

Data for La8NiP3I4 after structural relaxation.

Properties
Energy relative to the elements, uncorrected ... -1247 meV per atom
Space group ... No. 166

Cell lengths 8.604, 9.256, 8.605 Å; angles 117.70, 119.99, 90.00 degrees
Element x y z (fractional)
La (0.228, 0.694, 0.966)
La (0.229, 0.695, 0.458)
La (0.268, 0.305, 0.536)
La (0.732, 0.695, 0.464)
La (0.771, 0.305, 0.542)
La (0.262, 0.306, 0.034)
La (0.738, 0.694, 0.966)
La (0.772, 0.306, 0.034)
P (0.500, 0.500, 0.000)
P (0.000, 0.500, 0.500)
P (0.500, 0.500, 0.500)
I (0.000, 0.000, 0.000)
I (0.000, 0.000, 0.500)
I (0.500, 0.000, 0.500)
I (0.500, 0.000, 0.000)
Ni (0.000, 0.500, 0.000)

[2]
## BaNaHg2Sb (PBE)

Data for BaNaHg2Sb after structural relaxation.

Properties
Energy relative to the elements, uncorrected ... -516 meV per atom
Space group ... No. 44

Cell lengths 4.928, 4.683, 7.629 Å; angles 107.87, 108.85, 90.00 degrees
Element x y z (fractional)
Ba (0.436, 0.436, 0.873)
Hg (0.055, 0.055, 0.109)
Hg (0.683, 0.183, 0.366)
Sb (0.839, 0.839, 0.678)
Na (0.199, 0.699, 0.398)

[3]
## NdGd2Fe (PBE)

Data for NdGd2Fe after structural relaxation.

Properties
Calculated formation energy ... 0.0788 eV per atom
Space group ... No. 123
Excess energy over the best structure of this formula in the dataset ... 0 meV per atom

Cell lengths 3.456, 3.456, 9.073 Å; angles 90.00, 90.00, 90.00 degrees
Element x y z (fractional)
Fe (0.500, 0.500, 0.000)
Gd (0.000, 0.000, 0.181)
Gd (0.000, 0.000, 0.819)
Nd (0.500, 0.500, 0.500)

[4]
## Th4FeSe3 (PBE)

Data for Th4FeSe3 after structural relaxation.

Properties
Energy relative to the elements, uncorrected ... -1202 meV per atom
Space group ... No. 13

Cell lengths 7.078, 7.413, 8.493 Å; angles 90.00, 90.00, 108.31 degrees
Element x y z (fractional)
Se (0.250, 0.500, 0.870)
Se (0.750, 0.500, 0.622)
Se (0.750, 0.500, 0.130)
Se (0.750, 0.000, 0.371)
Se (0.250, 0.500, 0.378)
Se (0.250, 0.000, 0.629)
Th (0.518, 0.769, 0.637)
Th (0.019, 0.212, 0.111)
Th (0.982, 0.231, 0.637)
Th (0.482, 0.231, 0.363)
Th (0.981, 0.788, 0.889)
Th (0.018, 0.769, 0.363)
Th (0.519, 0.212, 0.889)
Th (0.481, 0.788, 0.111)
Fe (0.250, 0.000, 0.124)
Fe (0.750, 0.000, 0.876)

[5]
## Re2NiH (PBE)

Data for Re2NiH after structural relaxation.

Properties
Space group ... No. 122
Excess energy over the best structure of this formula in the dataset ... 0 meV per atom

Cell lengths 5.881, 5.881, 4.894 Å; angles 53.07, 53.07, 90.00 degrees
Element x y z (fractional)
Re (0.541, 0.125, 0.250)
Re (0.209, 0.625, 0.250)
Re (0.875, 0.791, 0.750)
Re (0.375, 0.459, 0.750)
H (0.500, 0.500, 0.000)
H (0.250, 0.750, 0.500)
Ni (0.000, 0.000, 0.000)
Ni (0.750, 0.250, 0.500)

[6]
## La4TmSb5 (PBE)

Data for La4TmSb5 after structural relaxation.

Properties
Energy relative to the elements, uncorrected ... -1214 meV per atom
Space group ... No. 139
Excess energy over the best structure of this formula in the dataset ... 5 meV per atom

Cell lengths 4.579, 4.579, 16.456 Å; angles 98.00, 98.00, 90.00 degrees
Element x y z (fractional)
Sb (0.700, 0.700, 0.400)
Sb (0.300, 0.300, 0.600)
Sb (0.904, 0.904, 0.807)
Sb (0.500, 0.500, 0.000)
Sb (0.096, 0.096, 0.193)
La (0.199, 0.199, 0.397)
La (0.599, 0.599, 0.197)
La (0.401, 0.401, 0.803)
La (0.801, 0.801, 0.603)
Tm (0.000, 0.000, 0.000)

[7]
## RbTe2Rh (PBE)

Data for RbTe2Rh after structural relaxation.

Properties
Energy relative to the elements, uncorrected ... -460 meV per atom
Space group ... No. 122

Cell lengths 8.268, 8.268, 7.086 Å; angles 54.31, 54.31, 90.00 degrees
Element x y z (fractional)
Te (0.375, 0.263, 0.750)
Te (0.737, 0.125, 0.250)
Te (0.875, 0.987, 0.750)
Te (0.013, 0.625, 0.250)
Rb (0.500, 0.500, 0.000)
Rb (0.250, 0.750, 0.500)
Rh (0.750, 0.250, 0.500)
Rh (0.000, 0.000, 0.000)

[8]
## CsTlS2 (PBE)

Data for CsTlS2 after structural relaxation.

Properties
Energy relative to the elements, uncorrected ... -584 meV per atom
Space group ... No. 62
Excess energy over the best structure of this formula in the dataset ... 0 meV per atom

Cell lengths 4.442, 8.319, 16.473 Å; angles 90.00, 90.00, 90.00 degrees
Element x y z (fractional)
Cs (0.250, 0.425, 0.661)
Cs (0.750, 0.075, 0.161)
Cs (0.750, 0.575, 0.339)
Cs (0.250, 0.925, 0.839)
S (0.250, 0.319, 0.019)
S (0.750, 0.744, 0.699)
S (0.250, 0.819, 0.481)
S (0.750, 0.681, 0.981)
S (0.750, 0.244, 0.801)
S (0.750, 0.181, 0.519)
S (0.250, 0.756, 0.199)
S (0.250, 0.256, 0.301)
Tl (0.250, 0.604, 0.077)
Tl (0.250, 0.104, 0.423)
Tl (0.750, 0.396, 0.923)
Tl (0.750, 0.896, 0.577)

| no. | volume (Å³ per cell) |
| --- | --- |
| 1 | 500.78 |
| 2 | 157.61 |
| 3 | 108.39 |
| 4 | 423.08 |
| 5 | 89.26 |
| 6 | 338.28 |
| 7 | 273.67 |
| 8 | 608.79 |